The following is a PBE calculation of a geometry-optimized CdInAs2 structure, from Alexandria.

Summary:
Energy (eV/atom): -3.072
Calculated density (kg/m³): 6406
Size of the total moment (μB per formula unit): 0.00
V (Å³ per atom): 24.44

a = 3.797 Å, b = 3.797 Å, c = 6.780 Å
α = 90.00°, β = 90.00°, γ = 90.00°
Element x y z (fractional)
Cd (0.000, 0.000, 0.000)
In (0.000, 0.000, 0.500)
As (0.500, 0.500, 0.186)
As (0.500, 0.500, 0.814)

***

The following is a PBE calculation of a geometry-optimized AcSeO structure, from Alexandria.

Summary:
Energy (eV/atom): -5.776
Raw formation energy (eV per atom): -1.5919
Calculated density (kg/m³): 6664
Size of the total moment (μB per formula unit): 1.00
Energy above the lowest structure with this stoichiometry (meV/atom): 953
V (Å³ per atom): 26.74

a = 4.841 Å, b = 4.841 Å, c = 4.841 Å
α = 60.00°, β = 60.00°, γ = 60.00°
Element x y z (fractional)
Ac (0.000, 0.000, 0.000)
Se (0.250, 0.250, 0.250)
O (0.750, 0.750, 0.750)

***

The following is a PBE calculation of a geometry-optimized ScTl2Se structure, from Alexandria.

Summary:
Energy (eV/atom): -3.842
Raw formation energy (eV per atom): -0.2052
Calculated density (kg/m³): 8461
Size of the total moment (μB per formula unit): 0.00
V (Å³ per atom): 26.14

a = 3.970 Å, b = 4.590 Å, c = 5.737 Å
α = 90.00°, β = 90.00°, γ = 90.00°
Element x y z (fractional)
Sc (0.000, 0.000, 0.000)
Tl (0.500, 0.500, 0.249)
Tl (0.500, 0.500, 0.751)
Se (0.000, 0.000, 0.500)

***

The following is a PBE calculation of a geometry-optimized LaPH2Pt structure, from Alexandria.

Summary:
Energy (eV/atom): -5.203
Calculated density (kg/m³): 8040
Size of the total moment (μB per formula unit): 0.00
V (Å³ per atom): 15.16

a = 4.000 Å, b = 4.000 Å, c = 4.736 Å
α = 90.00°, β = 90.00°, γ = 90.00°
Element x y z (fractional)
La (0.000, 0.000, 0.000)
P (0.500, 0.500, 0.000)
H (0.000, 0.500, 0.500)
H (0.500, 0.000, 0.500)
Pt (0.500, 0.500, 0.500)

***

The following is a PBE calculation of a geometry-optimized CuPd3O structure, from Alexandria.

Summary:
Energy (eV/atom): -4.824
Raw formation energy (eV per atom): 0.1029
Calculated density (kg/m³): 9187
Size of the total moment (μB per formula unit): 0.00
V (Å³ per atom): 14.42

a = 4.162 Å, b = 4.162 Å, c = 4.162 Å
α = 90.00°, β = 90.00°, γ = 90.00°
Element x y z (fractional)
Cu (0.000, 0.000, 0.000)
Pd (0.000, 0.500, 0.500)
Pd (0.500, 0.000, 0.500)
Pd (0.500, 0.500, 0.000)
O (0.500, 0.500, 0.500)

***

The following is a PBE calculation of a geometry-optimized Cs2MoCl structure, from Alexandria.

Summary:
Energy (eV/atom): -3.198
Raw formation energy (eV per atom): 0.3983
Calculated density (kg/m³): 3439
Size of the total moment (μB per formula unit): 5.00
Energy above the lowest structure with this stoichiometry (meV/atom): 55
V (Å³ per atom): 47.95

a = 6.473 Å, b = 6.473 Å, c = 6.473 Å
α = 60.00°, β = 60.00°, γ = 60.00°
Element x y z (fractional)
Cs (0.250, 0.250, 0.250)
Cs (0.750, 0.750, 0.750)
Mo (0.000, 0.000, 0.000)
Cl (0.500, 0.500, 0.500)

***

The following is a PBE calculation of a geometry-optimized MoRhSe2 structure, from Alexandria.

Summary:
Energy (eV/atom): -6.373
Raw formation energy (eV per atom): -0.0856
Calculated density (kg/m³): 7400
Size of the total moment (μB per formula unit): 0.00
Energy above the lowest structure with this stoichiometry (meV/atom): 89
V (Å³ per atom): 20.01

a = 9.662 Å, b = 9.662 Å, c = 9.662 Å
α = 18.59°, β = 18.59°, γ = 18.59°
Element x y z (fractional)
Mo (0.000, 0.000, 0.000)
Rh (0.252, 0.252, 0.252)
Se (0.528, 0.528, 0.528)
Se (0.728, 0.728, 0.728)

***

The following is a PBE calculation of a geometry-optimized TlCrTc2 structure, from Alexandria.

Summary:
Energy (eV/atom): -7.629
Calculated density (kg/m³): 11630
Size of the total moment (μB per formula unit): 0.33
Energy above the lowest structure with this stoichiometry (meV/atom): 120
V (Å³ per atom): 16.15

a = 8.929 Å, b = 8.929 Å, c = 8.929 Å
α = 18.80°, β = 18.80°, γ = 18.80°
Element x y z (fractional)
Tl (0.000, 0.000, 0.000)
Cr (0.500, 0.500, 0.500)
Tc (0.238, 0.238, 0.238)
Tc (0.762, 0.762, 0.762)